ZnHgPtO2 at its PBEsol-relaxed geometry. Source: Alexandria, functional SCAN.

abc: 3.9830 3.9830 5.2936
angles: 90.00 90.00 90.00
Closest atoms and distances in Å follow each position.
Positions (direct):
Zn: 0.0000 0.0000 0.0000  4 Pt 2.82
Hg: 0.5000 0.5000 0.5000  4 O 1.99
Pt: 0.5000 0.5000 0.0000  2 Hg 2.65, 4 Zn 2.82
O: 0.0000 0.5000 0.5000  2 Hg 1.99
O: 0.5000 0.0000 0.5000  2 Hg 1.99

Output
* calculated density: 9.7 g/cm3
* spin magnetization: 0.31 μB per formula unit
* formation energy from raw total energies: 3.615 eV/f.u.